8
Lattice="4.034 0.000 0.000 0.000 4.034 0.000 2.017 2.017 9.306" Properties=species:S:1:pos:R:3 comment="TlZn2Os (GGA-PBE, optimized geometry)" delta_e_f_mev_per_atom=661 vol_a3_per_atom=18.93 n_ef_per_ev_cell=5.963 relative_energy_ev_per_fu=1.16 pbc="T T T"
Tl 0.000 0.000 0.000
Tl 4.034 2.017 4.653
Os 2.017 2.017 0.000
Os 2.017 4.034 4.653
Zn 2.707 1.008 2.326
Zn 1.327 3.025 2.326
Zn 3.025 3.344 6.979
Zn 5.042 4.724 6.979